# 1
Here is a relaxed structure of AcSi2Au from the Alexandria database. Energies are from PBE.

a = 4.376 Å, b = 4.376 Å, c = 6.866 Å
α = 90.00°, β = 90.00°, γ = 90.00°
Atoms (fractional coordinates):
Ac (0.000, 0.000, 0.000)
Si (0.500, 0.500, 0.160)
Si (0.500, 0.500, 0.840)
Au (0.500, 0.500, 0.500)

Values from the calculation:
* crystal system: tetragonal
* ΔE to the lowest computed polymorph: 432 meV/atom


# 2
Here is a relaxed structure of AcSiAu3 from the Alexandria database. Energies are from PBE.

a = 4.927 Å, b = 4.927 Å, c = 4.927 Å
α = 90.00°, β = 90.00°, γ = 90.00°
Atoms (fractional coordinates):
Ac (0.000, 0.000, 0.000)
Si (0.500, 0.500, 0.500)
Au (0.000, 0.500, 0.500)
Au (0.500, 0.000, 0.500)
Au (0.500, 0.500, 0.000)

Values from the calculation:
* crystal system: cubic
* ΔE to the lowest computed polymorph: 143 meV/atom


# 3
Here is a relaxed structure of AcSi2Au3 from the Alexandria database. Energies are from PBE.

a = 8.400 Å, b = 8.400 Å, c = 7.678 Å
α = 113.50°, β = 113.50°, γ = 30.47°
Atoms (fractional coordinates):
Ac (0.154, 0.154, 0.076)
Ac (0.846, 0.846, 0.924)
Si (0.184, 0.184, 0.671)
Si (0.485, 0.485, 0.834)
Si (0.515, 0.515, 0.166)
Si (0.816, 0.816, 0.329)
Au (0.039, 0.039, 0.355)
Au (0.317, 0.317, 0.586)
Au (0.386, 0.386, 0.278)
Au (0.614, 0.614, 0.722)
Au (0.683, 0.683, 0.414)
Au (0.961, 0.961, 0.645)

Values from the calculation:
* crystal system: monoclinic


# 4
Here is a relaxed structure of AcSi2Au4 from the Alexandria database. Energies are from PBE.

a = 7.195 Å, b = 7.195 Å, c = 4.555 Å
α = 90.00°, β = 90.00°, γ = 143.22°
Atoms (fractional coordinates):
Ac (0.000, 0.000, 0.000)
Si (0.409, 0.591, 0.500)
Si (0.591, 0.409, 0.500)
Au (0.176, 0.824, 0.500)
Au (0.323, 0.677, 0.000)
Au (0.677, 0.323, 0.000)
Au (0.824, 0.176, 0.500)

Values from the calculation:
* crystal system: orthorhombic


Across the entries above, VASP energy takes the values -18.02, -21.83, -55.54, -31.42 eV for the cell shown, respectively.
Across the entries above, formation energy (no corrections) takes the values 0.053, -0.494, -0.497, -0.479 eV/atom, respectively.